Entry 1:
Density functional theory data (PBE) for a geometry-optimized TiInSbI2 structure.

The structure in POSCAR format:
```
TiInSbI2
1.0
5.844 0.000 0.000
0.000 5.844 0.000
0.000 0.000 5.741
Ti In Sb I
1 1 1 2
direct
0.000 0.000 0.000 Ti
0.500 0.500 0.500 In
0.500 0.500 0.000 Sb
0.000 0.500 0.500 I
0.500 0.000 0.500 I
```

## Properties
Volume   196.1 Å³ per cell
SG   P4/mmm
Energy relative to the elements, uncorrected   676.4 meV per atom
E above lowest polymorph   791 meV/atom
Fermi-level density of states   6.1 states/eV/cell

Entry 2:
Density functional theory data (PBE) for a geometry-optimized TiInSb2I structure.

The structure in POSCAR format:
```
TiInSb2I
1.0
5.549 0.000 0.000
0.000 5.549 0.000
0.000 0.000 5.915
Ti In Sb I
1 1 2 1
direct
0.000 0.000 0.000 Ti
0.500 0.500 0.500 In
0.000 0.500 0.500 Sb
0.500 0.000 0.500 Sb
0.500 0.500 0.000 I
```

## Properties
Volume   182.1 Å³ per cell
SG   P4/mmm
Energy relative to the elements, uncorrected   887.5 meV per atom
E above lowest polymorph   886 meV/atom
Fermi-level density of states   5.1 states/eV/cell

Entry 3:
Density functional theory data (PBE) for a geometry-optimized TiInSb2I structure.

The structure in POSCAR format:
```
TiInSb2I
1.0
5.234 0.000 0.000
0.000 5.234 0.000
0.000 0.000 6.099
Ti In Sb I
1 1 2 1
direct
0.000 0.000 0.000 Ti
0.500 0.500 0.500 In
0.000 0.500 0.000 Sb
0.500 0.000 0.000 Sb
0.000 0.000 0.500 I
```

## Properties
Volume   167.1 Å³ per cell
SG   P4/mmm
Energy relative to the elements, uncorrected   1.5 meV per atom
E above lowest polymorph   0 meV/atom
Fermi-level density of states   2.6 states/eV/cell

Entry 4:
Density functional theory data (PBE) for a geometry-optimized TlIn2SbI6 structure.

The structure in POSCAR format:
```
TlIn2SbI6
1.0
8.531 0.000 0.000
-4.262 7.415 0.000
-4.264 -2.462 7.521
Tl In Sb I
1 2 1 6
direct
0.000 0.000 0.000 Tl
0.604 0.302 0.905 In
0.619 0.810 0.427 In
0.990 0.495 0.485 Sb
0.098 0.390 0.236 I
0.105 0.258 0.712 I
0.454 0.846 0.712 I
0.530 0.140 0.235 I
0.845 0.706 0.234 I
0.865 0.608 0.712 I
```

## Properties
Volume   475.8 Å³ per cell
SG   P1
Energy relative to the elements, uncorrected   -434.1 meV per atom
Fermi-level density of states   0.0 states/eV/cell